! SmGa12Ir4 PBE relaxed; values from VASP
&SYSTEM
  ibrav = 0, nat = 17, ntyp = 3
/
ATOMIC_SPECIES
Sm 150.36 Sm.upf
Ga 69.72 Ga.upf
Ir 192.22 Ir.upf
CELL_PARAMETERS angstrom
-4.417 4.417 4.417
4.417 -4.417 4.417
4.417 4.417 -4.417
ATOMIC_POSITIONS angstrom
Sm 0.000 0.000 0.000
Ga 2.981 1.418 0.000
Ga 5.854 1.418 0.000
Ga 4.417 -1.437 3.000
Ga 3.000 4.417 -1.437
Ga 1.418 0.000 2.981
Ga 0.000 2.981 1.418
Ga 4.417 1.437 3.000
Ga 3.000 4.417 1.437
Ga 1.418 0.000 5.854
Ga 0.000 5.854 1.418
Ga -1.437 3.000 4.417
Ga 1.437 3.000 4.417
Ir 2.209 2.209 -2.209
Ir 2.209 -2.209 2.209
Ir -2.209 2.209 2.209
Ir 2.209 2.209 2.209
! SG: Im-3 (204)
! ΔH_f (0 K) in eV/f.u.: -3.152
! VASP energy in eV per cell: -79.638